[1]
A plane-wave DFT calculation with PBE-GGA was carried out for crystalline Ce2SmZn2Ge2 at its relaxed geometry.

Calculated values
DOS at the Fermi energy: 10.591 states/eV/f.u.
Formation enthalpy at 0 K: -293 kJ/mol of formula units

Geometry as CIF:
```
data_Ce2SmZn2Ge2
_symmetry_space_group_name_H-M 'R -3 m'
_symmetry_Int_Tables_number 166
_symmetry_space_group_name_Hall '-R 3 2"'
_cell_length_a 4.3123
_cell_length_b 4.3123
_cell_length_c 27.8880
_cell_angle_alpha 90.00
_cell_angle_beta 90.00
_cell_angle_gamma 120.00
loop_
_atom_site_label
_atom_site_type_symbol
_atom_site_fract_x
_atom_site_fract_y
_atom_site_fract_z
Ce1 Ce 0.0000 0.0000 0.1420
Sm1 Sm 0.0000 0.0000 0.0000
Zn1 Zn 0.0000 0.0000 0.4073
Ge1 Ge 0.0000 0.0000 0.2645
```

[2]
A plane-wave DFT calculation with PBE-GGA was carried out for crystalline Ce2Sm2ZnGe4 at its relaxed geometry.

Calculated values
DOS at the Fermi energy: 11.704 states/eV/f.u.
Formation enthalpy at 0 K: -270 kJ/mol of formula units

Geometry as CIF:
```
data_Ce2Sm2ZnGe4
_symmetry_space_group_name_H-M 'I 4/m m m'
_symmetry_Int_Tables_number 139
_symmetry_space_group_name_Hall '-I 4 2'
_cell_length_a 7.043
_cell_length_b 7.043
_cell_length_c 8.720
_cell_angle_alpha 90.00
_cell_angle_beta 90.00
_cell_angle_gamma 90.00
loop_
_atom_site_label
_atom_site_type_symbol
_atom_site_fract_x
_atom_site_fract_y
_atom_site_fract_z
Ce1 Ce 0.000 0.000 0.184
Sm1 Sm 0.000 0.500 0.250
Zn1 Zn 0.000 0.000 0.500
Ge1 Ge 0.245 0.245 0.500
```

[3]
A plane-wave DFT calculation with PBE-GGA was carried out for crystalline CeSmZnGe at its relaxed geometry.

Calculated values
DOS at the Fermi energy: 7.561 states/eV/f.u.
Formation enthalpy at 0 K: -182 kJ/mol of formula units

Geometry as CIF:
```
data_CeSmZnGe
_symmetry_space_group_name_H-M 'F -4 3 m'
_symmetry_Int_Tables_number 216
_symmetry_space_group_name_Hall 'F -4 2 3'
_cell_length_a 7.256
_cell_length_b 7.256
_cell_length_c 7.256
_cell_angle_alpha 90.00
_cell_angle_beta 90.00
_cell_angle_gamma 90.00
loop_
_atom_site_label
_atom_site_type_symbol
_atom_site_fract_x
_atom_site_fract_y
_atom_site_fract_z
Ce1 Ce 0.000 0.000 0.000
Sm1 Sm 0.000 0.000 0.500
Zn1 Zn 0.250 0.250 0.750
Ge1 Ge 0.250 0.250 0.250
```

[4]
A plane-wave DFT calculation with PBE-GGA was carried out for crystalline CeSm2Zn2Ge2 at its relaxed geometry.

Calculated values
DOS at the Fermi energy: 8.862 states/eV/f.u.
Formation enthalpy at 0 K: -300 kJ/mol of formula units

Geometry as CIF:
```
data_CeSm2Zn2Ge2
_symmetry_space_group_name_H-M 'R -3 m'
_symmetry_Int_Tables_number 166
_symmetry_space_group_name_Hall '-R 3 2"'
_cell_length_a 4.1824
_cell_length_b 4.1824
_cell_length_c 34.0150
_cell_angle_alpha 90.00
_cell_angle_beta 90.00
_cell_angle_gamma 120.00
loop_
_atom_site_label
_atom_site_type_symbol
_atom_site_fract_x
_atom_site_fract_y
_atom_site_fract_z
Ce1 Ce 0.0000 0.0000 0.0000
Sm1 Sm 0.0000 0.0000 0.1233
Zn1 Zn 0.0000 0.0000 0.3912
Ge1 Ge 0.0000 0.0000 0.2685
```

[5]
A plane-wave DFT calculation with PBE-GGA was carried out for crystalline Ce12Sn5Ge3 at its relaxed geometry.

Calculated values
DOS at the Fermi energy: 67.001 states/eV/f.u.
Formation enthalpy at 0 K: -1081 kJ/mol of formula units

Geometry as CIF:
```
data_Ce12Sn5Ge3
_symmetry_space_group_name_H-M 'I 4/m c m'
_symmetry_Int_Tables_number 140
_symmetry_space_group_name_Hall '-I 4 2c'
_cell_length_a 11.862
_cell_length_b 11.862
_cell_length_c 16.088
_cell_angle_alpha 90.00
_cell_angle_beta 90.00
_cell_angle_gamma 90.00
loop_
_atom_site_label
_atom_site_type_symbol
_atom_site_fract_x
_atom_site_fract_y
_atom_site_fract_z
Ce1 Ce 0.000 0.500 0.141
Ce2 Ce 0.062 0.199 0.135
Ce3 Ce 0.164 0.336 0.500
Sn1 Sn 0.000 0.000 0.000
Sn2 Sn 0.175 0.325 0.298
Ge1 Ge 0.000 0.000 0.250
Ge2 Ge 0.123 0.377 0.000
```

[6]
A plane-wave DFT calculation with PBE-GGA was carried out for crystalline Ce3Sn2Ge at its relaxed geometry.

Calculated values
DOS at the Fermi energy: 13.309 states/eV/f.u.
Formation enthalpy at 0 K: -351 kJ/mol of formula units

Geometry as CIF:
```
data_Ce3Sn2Ge
_symmetry_space_group_name_H-M 'P m m n'
_symmetry_Int_Tables_number 59
_cell_length_a 5.765
_cell_length_b 17.178
_cell_length_c 3.162
_cell_angle_alpha 90.00
_cell_angle_beta 90.00
_cell_angle_gamma 90.00
loop_
_symmetry_equiv_pos_as_xyz
'x,y,z'
'-x,-y,-z'
'-x+1/2,-y+1/2,z'
'x+1/2,y+1/2,-z'
'x+1/2,-y,-z'
'-x+1/2,y,z'
'-x,y+1/2,-z'
'x,-y+1/2,z'
loop_
_atom_site_label
_atom_site_type_symbol
_atom_site_fract_x
_atom_site_fract_y
_atom_site_fract_z
Ce1 Ce 0.250 0.093 0.000
Ce2 Ce 0.250 0.750 0.001
Sn1 Sn 0.250 0.579 0.500
Ge1 Ge 0.250 0.250 0.499
```